! Sm2Dy6Y3Zr (GGA-PBE, optimized geometry); values from VASP
! **DOS(E_F)**: 1.2701 states/eV/atom
! **Symmetry**: C2/m, No. 12
! **Formation energy**: 0.050 eV/atom
&SYSTEM
  ibrav = 0, nat = 12, ntyp = 4
/
ATOMIC_SPECIES
Sm 150.36 Sm.upf
Dy 162.50 Dy.upf
Y 88.91 Y.upf
Zr 91.22 Zr.upf
ATOMIC_POSITIONS angstrom
Sm 3.059 3.526 0.000
Sm 3.059 -3.526 0.000
Dy 0.032 1.728 8.692
Dy 1.069 0.000 2.824
Dy 0.032 -1.728 8.692
Dy 4.064 1.728 2.828
Dy 3.027 0.000 8.696
Dy 4.064 -1.728 2.828
Y -1.011 0.000 5.760
Y 2.048 1.761 5.760
Y 2.048 -1.761 5.760
Zr 3.059 0.000 0.000
CELL_PARAMETERS angstrom
3.059 -5.290 0.000
3.059 5.290 0.000
-2.021 0.000 11.520